The following is a PBE-GGA calculation of a geometry-optimized CsSb2TeMo structure, from the Alexandria database.

Excess energy over the best structure of this formula in the dataset in meV per atom: 0
Symmetry: P4/mmm (123)
Uncorrected energy in eV per atom: -4.5145

Structure (POSCAR):
```
CsSb2TeMo
1.0
5.3387 0.0000 0.0000
0.0000 5.3387 0.0000
0.0000 0.0000 5.7126
Cs Sb Te Mo
1 2 1 1
Direct
0.0000 0.0000 0.0000 Cs
0.0000 0.5000 0.5000 Sb
0.5000 0.0000 0.5000 Sb
0.5000 0.5000 0.0000 Te
0.5000 0.5000 0.5000 Mo
```